## BeAs2Pb (PBE-GGA)

Data for a relaxed structure of BeAs2Pb.

a = 3.819 Å, b = 3.982 Å, c = 5.435 Å
α = 90.00°, β = 90.00°, γ = 90.00°
Space group Pmmm (No. 47)
Symmetry-distinct sites (fractional):
Be 0.000 0.000 0.000 x1
As 0.000 0.500 0.500 x1
As 0.500 0.000 0.500 x1
Pb 0.500 0.500 0.000 x1

## Properties
ΔH_f (0 K): 0.5890 eV per atom
energy: -0.1321 Ha/atom
density of states at the Fermi level: 2.37 states/eV/cell
total magnetic moment: 0.0 μB/f.u.